# 1
This record from Alexandria via LeMat-Bulk describes a relaxed structure of Na6SnI8. The functional is PBE-GGA.

Values from the calculation:
* uncorrected formation energy: -1.110 eV/atom
* V: 37.21 Å³ per atom

Cell and atoms, written as CIF:
```
data_Na6SnI8
_chemical_formula_sum 'Na24 Sn4 I32'
_symmetry_space_group_name_H-M 'F m -3 m'
_symmetry_Int_Tables_number 225
_symmetry_space_group_name_Hall '-F 4 2 3'
_cell_length_a 13.0701
_cell_length_b 13.0701
_cell_length_c 13.0701
_cell_angle_alpha 90.00
_cell_angle_beta 90.00
_cell_angle_gamma 90.00
loop_
_atom_site_label
_atom_site_type_symbol
_atom_site_fract_x
_atom_site_fract_y
_atom_site_fract_z
Na1 Na 0.0000 0.2500 0.2500
Sn1 Sn 0.0000 0.0000 0.0000
I1 I 0.0000 0.0000 0.2462
I2 I 0.2500 0.2500 0.2500
```

=====

# 2
This record from Alexandria via LeMat-Bulk describes a relaxed structure of Na2SnI6. The functional is PBE-GGA.

Values from the calculation:
* uncorrected formation energy: -0.698 eV/atom
* V: 57.10 Å³ per atom
* excess energy over the best structure of this formula in the dataset: 0 meV per atom

Cell and atoms, written as CIF:
```
data_Na2SnI6
_chemical_formula_sum 'Na8 Sn4 I24'
_symmetry_space_group_name_H-M 'C 1 2/c 1'
_symmetry_Int_Tables_number 15
_cell_length_a 17.3905
_cell_length_b 19.9887
_cell_length_c 6.3468
_cell_angle_alpha 90.00
_cell_angle_beta 111.28
_cell_angle_gamma 90.00
loop_
_symmetry_equiv_pos_as_xyz
'x,y,z'
'-x,-y,-z'
'-x,y,-z+1/2'
'x,-y,z+1/2'
'x+1/2,y+1/2,z'
'-x+1/2,-y+1/2,-z'
'-x+1/2,y+1/2,-z+1/2'
'x+1/2,-y+1/2,z+1/2'
loop_
_atom_site_label
_atom_site_type_symbol
_atom_site_fract_x
_atom_site_fract_y
_atom_site_fract_z
Na1 Na 0.2457 0.0752 0.0548
Sn1 Sn 0.0000 0.2549 0.7500
I1 I 0.0984 0.1761 0.1007
I2 I 0.0995 0.3329 0.5965
I3 I 0.2453 0.0795 0.5642
```

=====

# 3
This record from Alexandria via LeMat-Bulk describes a relaxed structure of NaSn2I. The functional is PBE-GGA.

Values from the calculation:
* uncorrected formation energy: 0.204 eV/atom
* V: 30.75 Å³ per atom
* excess energy over the best structure of this formula in the dataset: 161 meV per atom

Cell and atoms, written as CIF:
```
data_NaSn2I
_chemical_formula_sum 'Na4 Sn8 I4'
_symmetry_space_group_name_H-M 'F m -3 m'
_symmetry_Int_Tables_number 225
_symmetry_space_group_name_Hall '-F 4 2 3'
_cell_length_a 7.8944
_cell_length_b 7.8944
_cell_length_c 7.8944
_cell_angle_alpha 90.00
_cell_angle_beta 90.00
_cell_angle_gamma 90.00
loop_
_atom_site_label
_atom_site_type_symbol
_atom_site_fract_x
_atom_site_fract_y
_atom_site_fract_z
Na1 Na 0.0000 0.0000 0.0000
Sn1 Sn 0.2500 0.2500 0.2500
I1 I 0.0000 0.0000 0.5000
```

=====

# 4
This record from Alexandria via LeMat-Bulk describes a relaxed structure of NaSn2I4. The functional is PBE-GGA.

Values from the calculation:
* uncorrected formation energy: -0.401 eV/atom
* V: 43.97 Å³ per atom
* excess energy over the best structure of this formula in the dataset: 2 meV per atom

Cell and atoms, written as CIF:
```
data_NaSn2I4
_chemical_formula_sum 'Na2 Sn4 I8'
_symmetry_space_group_name_H-M 'I 4/m m m'
_symmetry_Int_Tables_number 139
_symmetry_space_group_name_Hall '-I 4 2'
_cell_length_a 6.3478
_cell_length_b 6.3478
_cell_length_c 15.2760
_cell_angle_alpha 90.00
_cell_angle_beta 90.00
_cell_angle_gamma 90.00
loop_
_atom_site_label
_atom_site_type_symbol
_atom_site_fract_x
_atom_site_fract_y
_atom_site_fract_z
Na1 Na 0.0000 0.0000 0.0000
Sn1 Sn 0.0000 0.0000 0.3997
I1 I 0.0000 0.0000 0.2141
I2 I 0.0000 0.5000 0.0000
```

=====

# 5
This record from Alexandria via LeMat-Bulk describes a relaxed structure of NaTbSnI6. The functional is PBE-GGA.

Values from the calculation:
* uncorrected formation energy: -1.031 eV/atom
* V: 41.99 Å³ per atom

Cell and atoms, written as CIF:
```
data_NaTbSnI6
_chemical_formula_sum 'Na2 Tb2 Sn2 I12'
_symmetry_space_group_name_H-M 'P -3 1 c'
_symmetry_Int_Tables_number 163
_symmetry_space_group_name_Hall '-P 3 2c'
_cell_length_a 7.8703
_cell_length_b 7.8703
_cell_length_c 14.0907
_cell_angle_alpha 90.00
_cell_angle_beta 90.00
_cell_angle_gamma 120.00
loop_
_atom_site_label
_atom_site_type_symbol
_atom_site_fract_x
_atom_site_fract_y
_atom_site_fract_z
Na1 Na 0.3333 0.6667 0.2500
Tb1 Tb 0.3333 0.6667 0.7500
Sn1 Sn 0.0000 0.0000 0.0000
I1 I 0.0151 0.3499 0.6247
```

=====

# 6
This record from Alexandria via LeMat-Bulk describes a relaxed structure of NaSnTeI2. The functional is PBE-GGA.

Values from the calculation:
* uncorrected formation energy: 0.034 eV/atom
* V: 37.62 Å³ per atom
* excess energy over the best structure of this formula in the dataset: 397 meV per atom

Cell and atoms, written as CIF:
```
data_NaSnTeI2
_chemical_formula_sum 'Na1 Sn1 Te1 I2'
_symmetry_space_group_name_H-M 'P 4/m m m'
_symmetry_Int_Tables_number 123
_symmetry_space_group_name_Hall '-P 4 2'
_cell_length_a 5.6751
_cell_length_b 5.6751
_cell_length_c 5.8402
_cell_angle_alpha 90.00
_cell_angle_beta 90.00
_cell_angle_gamma 90.00
loop_
_atom_site_label
_atom_site_type_symbol
_atom_site_fract_x
_atom_site_fract_y
_atom_site_fract_z
Na1 Na 0.0000 0.0000 0.0000
Sn1 Sn 0.5000 0.5000 0.5000
Te1 Te 0.0000 0.0000 0.5000
I1 I 0.0000 0.5000 0.0000
```

=====

# 7
This record from Alexandria via LeMat-Bulk describes a relaxed structure of NaSnTeI2. The functional is PBE-GGA.

Values from the calculation:
* uncorrected formation energy: -0.363 eV/atom
* V: 43.81 Å³ per atom
* excess energy over the best structure of this formula in the dataset: 0 meV per atom

Cell and atoms, written as CIF:
```
data_NaSnTeI2
_chemical_formula_sum 'Na1 Sn1 Te1 I2'
_symmetry_space_group_name_H-M 'P 4/m m m'
_symmetry_Int_Tables_number 123
_symmetry_space_group_name_Hall '-P 4 2'
_cell_length_a 6.1341
_cell_length_b 6.1341
_cell_length_c 5.8214
_cell_angle_alpha 90.00
_cell_angle_beta 90.00
_cell_angle_gamma 90.00
loop_
_atom_site_label
_atom_site_type_symbol
_atom_site_fract_x
_atom_site_fract_y
_atom_site_fract_z
Na1 Na 0.0000 0.0000 0.0000
Sn1 Sn 0.5000 0.5000 0.5000
Te1 Te 0.5000 0.5000 0.0000
I1 I 0.0000 0.5000 0.5000
```

=====

# 8
This record from Alexandria via LeMat-Bulk describes a relaxed structure of NaSnTeI. The functional is PBE-GGA.

Values from the calculation:
* uncorrected formation energy: -0.671 eV/atom
* V: 35.77 Å³ per atom

Cell and atoms, written as CIF:
```
data_NaSnTeI
_chemical_formula_sum 'Na3 Sn3 Te3 I3'
_symmetry_space_group_name_H-M 'R 3 m'
_symmetry_Int_Tables_number 160
_symmetry_space_group_name_Hall 'R 3 -2"'
_cell_length_a 4.4916
_cell_length_b 4.4916
_cell_length_c 24.5680
_cell_angle_alpha 90.00
_cell_angle_beta 90.00
_cell_angle_gamma 120.00
loop_
_atom_site_label
_atom_site_type_symbol
_atom_site_fract_x
_atom_site_fract_y
_atom_site_fract_z
Na1 Na 0.0000 0.0000 0.0000
Sn1 Sn 0.0000 0.0000 0.1756
Te1 Te 0.0000 0.0000 0.5758
I1 I 0.0000 0.0000 0.7448
```

=====

# 9
This record from Alexandria via LeMat-Bulk describes a relaxed structure of NaTl2SnI4. The functional is PBE-GGA.

Values from the calculation:
* uncorrected formation energy: -0.578 eV/atom
* V: 42.82 Å³ per atom

Cell and atoms, written as CIF:
```
data_NaTl2SnI4
_chemical_formula_sum 'Na1 Tl2 Sn1 I4'
_symmetry_space_group_name_H-M 'P 1 2/m 1'
_symmetry_Int_Tables_number 10
_cell_length_a 8.3555
_cell_length_b 4.6585
_cell_length_c 9.3148
_cell_angle_alpha 90.00
_cell_angle_beta 109.13
_cell_angle_gamma 90.00
loop_
_symmetry_equiv_pos_as_xyz
'x,y,z'
'-x,-y,-z'
'-x,y,-z'
'x,-y,z'
loop_
_atom_site_label
_atom_site_type_symbol
_atom_site_fract_x
_atom_site_fract_y
_atom_site_fract_z
Na1 Na 0.0000 0.0000 0.0000
Tl1 Tl 0.0000 0.0000 0.5000
Tl2 Tl 0.5000 0.5000 0.0000
Sn1 Sn 0.5000 0.5000 0.5000
I1 I 0.0767 0.5000 0.7931
I2 I 0.4025 0.0000 0.2448
```

=====

# 10
This record from Alexandria via LeMat-Bulk describes a relaxed structure of NaTl2SnI6. The functional is PBE-GGA.

Values from the calculation:
* uncorrected formation energy: -0.635 eV/atom
* V: 41.34 Å³ per atom

Cell and atoms, written as CIF:
```
data_NaTl2SnI6
_chemical_formula_sum 'Na2 Tl4 Sn2 I12'
_symmetry_space_group_name_H-M 'P 1 21/c 1'
_symmetry_Int_Tables_number 14
_cell_length_a 8.0191
_cell_length_b 8.7999
_cell_length_c 14.0574
_cell_angle_alpha 90.00
_cell_angle_beta 123.53
_cell_angle_gamma 90.00
loop_
_symmetry_equiv_pos_as_xyz
'x,y,z'
'-x,-y,-z'
'-x,y+1/2,-z+1/2'
'x,-y+1/2,z+1/2'
loop_
_atom_site_label
_atom_site_type_symbol
_atom_site_fract_x
_atom_site_fract_y
_atom_site_fract_z
Na1 Na 0.0000 0.0000 0.0000
Tl1 Tl 0.2056 0.1022 0.7494
Sn1 Sn 0.5000 0.0000 0.5000
I1 I 0.1305 0.1785 0.4454
I2 I 0.2737 0.6981 0.4417
I3 I 0.3828 0.0307 0.2541
```

=====

# 11
This record from Alexandria via LeMat-Bulk describes a relaxed structure of Na2TlSnI6. The functional is PBE-GGA.

Values from the calculation:
* uncorrected formation energy: -0.752 eV/atom
* V: 42.45 Å³ per atom

Cell and atoms, written as CIF:
```
data_Na2TlSnI6
_chemical_formula_sum 'Na6 Tl3 Sn3 I18'
_symmetry_space_group_name_H-M 'R 3'
_symmetry_Int_Tables_number 146
_symmetry_space_group_name_Hall 'R 3'
_cell_length_a 8.1068
_cell_length_b 8.1068
_cell_length_c 22.3768
_cell_angle_alpha 90.00
_cell_angle_beta 90.00
_cell_angle_gamma 120.00
loop_
_atom_site_label
_atom_site_type_symbol
_atom_site_fract_x
_atom_site_fract_y
_atom_site_fract_z
Na1 Na 0.0000 0.0000 0.0000
Na2 Na 0.0000 0.0000 0.4887
Tl1 Tl 0.0000 0.0000 0.1853
Sn1 Sn 0.0000 0.0000 0.6764
I1 I 0.0097 0.3574 0.4184
I2 I 0.0181 0.7119 0.5921
```

=====

# 12
This record from Alexandria via LeMat-Bulk describes a relaxed structure of NaTl2SnI5. The functional is PBE-GGA.

Values from the calculation:
* uncorrected formation energy: -0.725 eV/atom
* V: 42.60 Å³ per atom

Cell and atoms, written as CIF:
```
data_NaTl2SnI5
_chemical_formula_sum 'Na4 Tl8 Sn4 I20'
_symmetry_space_group_name_H-M 'C m c 21'
_symmetry_Int_Tables_number 36
_cell_length_a 4.6951
_cell_length_b 20.2378
_cell_length_c 16.1406
_cell_angle_alpha 90.00
_cell_angle_beta 90.00
_cell_angle_gamma 90.00
loop_
_symmetry_equiv_pos_as_xyz
'x,y,z'
'-x,-y,z+1/2'
'-x,y,z'
'x,-y,z+1/2'
'x+1/2,y+1/2,z'
'-x+1/2,-y+1/2,z+1/2'
'-x+1/2,y+1/2,z'
'x+1/2,-y+1/2,z+1/2'
loop_
_atom_site_label
_atom_site_type_symbol
_atom_site_fract_x
_atom_site_fract_y
_atom_site_fract_z
Na1 Na 0.0000 0.0498 0.0000
Tl1 Tl 0.0000 0.3744 0.8458
Tl2 Tl 0.0000 0.4143 0.1994
Sn1 Sn 0.0000 0.2711 0.5852
I1 I 0.0000 0.0020 0.8220
I2 I 0.0000 0.1155 0.5380
I3 I 0.0000 0.2068 0.9538
I4 I 0.0000 0.2387 0.2268
I5 I 0.0000 0.4251 0.6185
```